# 1
Here is a geometry-optimized Ca3BiP structure from Alexandria via LeMat-Bulk. Energies are from PBE.

Lattice parameters (Å, degrees): 7.6828 7.6828 13.2363 73.69 73.69 59.39
With the nearest neighbours (Å) after each atom.
Atoms (fractional coordinates):
Ca 0.6335 0.6797 0.6399  2 P 2.80
Bi 0.5895 0.1486 0.6293  6 Ca 3.23-3.57
Ca 0.1272 0.1702 0.6633  2 P 2.76-2.77
Ca 0.6797 0.6335 0.1399  2 P 2.80
P 0.0000 0.5000 0.5000  6 Ca 2.76-2.80
Ca 0.1702 0.1272 0.1633  2 P 2.76-2.77
Bi 0.8514 0.4105 0.8707  6 Ca 3.23-3.57
Ca 0.8298 0.8728 0.8367  2 P 2.76-2.77
Ca 0.3417 0.8158 0.9216  2 P 2.80
P 0.5000 0.0000 0.0000  6 Ca 2.76-2.80
Ca 0.8158 0.3417 0.4216  2 P 2.80
Ca 0.6583 0.1842 0.0784  2 P 2.80
P 0.2376 0.7624 0.7500  6 Ca 2.77-2.80
P 0.7624 0.2376 0.2500  6 Ca 2.77-2.80
Ca 0.8728 0.8298 0.3367  2 P 2.76-2.77
Bi 0.4105 0.8514 0.3707  6 Ca 3.23-3.57
Bi 0.1486 0.5895 0.1293  6 Ca 3.23-3.57
Ca 0.3665 0.3203 0.3601  2 P 2.80
Ca 0.3203 0.3665 0.8601  2 P 2.80
Ca 0.1842 0.6583 0.5784  2 P 2.80

Summary:
The energy above the most stable polymorph in this dataset is 18 meV per atom. The value obtained for the total DFT energy (no corrections) is -81.45 eV per cell. As for the formation energy: -1.014 eV per atom. Its space group is No. 15.

---

# 2
Here is a geometry-optimized Ca6Bi3P structure from Alexandria via LeMat-Bulk. Energies are from PBE.

Lattice parameters (Å, degrees): 8.0179 7.8369 7.8369 59.32 61.80 61.80
With the nearest neighbours (Å) after each atom.
Atoms (fractional coordinates):
Ca 0.1471 0.7341 0.7341  1 P 2.89, 2 Bi 3.14-3.21
Ca 0.3422 0.6695 0.1775  1 P 2.79, 1 Bi 3.06
Bi 0.7274 0.7558 0.7558  5 Ca 3.21-3.38
Ca 0.6578 0.3305 0.8225  1 P 2.79, 1 Bi 3.06
Bi 0.0000 0.0000 0.0000  6 Ca 3.06-3.14
P 0.5000 0.5000 0.5000  6 Ca 2.79-2.89
Ca 0.3422 0.1775 0.6695  1 P 2.79, 1 Bi 3.06
Bi 0.2726 0.2442 0.2442  5 Ca 3.21-3.38
Ca 0.6578 0.8225 0.3305  1 P 2.79, 1 Bi 3.06
Ca 0.8529 0.2659 0.2659  1 P 2.89, 2 Bi 3.14-3.21

Summary:
The energy above the most stable polymorph in this dataset is 41 meV per atom. The value obtained for the total DFT energy (no corrections) is -37.54 eV per cell. As for the formation energy: -0.848 eV per atom. Its space group is No. 12.

---

# 3
Here is a geometry-optimized Ca3BiP structure from Alexandria via LeMat-Bulk. Energies are from PBE.

Lattice parameters (Å, degrees): 6.0702 6.0702 6.0702 88.47 88.47 88.47
With the nearest neighbours (Å) after each atom.
Atoms (fractional coordinates):
Ca 0.6456 0.6456 0.0682  1 P 2.75, 1 Bi 3.05
Bi 0.5602 0.5602 0.5602  6 Ca 3.05-3.20
P 0.9553 0.9553 0.9553  3 Ca 2.75
Ca 0.6456 0.0682 0.6456  1 P 2.75, 1 Bi 3.05
Ca 0.0682 0.6456 0.6456  1 P 2.75, 1 Bi 3.05

Summary:
The energy above the most stable polymorph in this dataset is 561 meV per atom. The value obtained for the total DFT energy (no corrections) is -17.65 eV per cell. As for the formation energy: -0.471 eV per atom. Its space group is No. 160.

---

Look up the total DFT energy (no corrections) of the second one.
-37.54 eV per cell